Entry from the Alexandria database: a relaxed structure of K2Hf2MnSe6 (PBE-GGA).

Structure (POSCAR):
```
K2Hf2MnSe6
1.0
-4.5029 2.1689 4.5288
-1.9262 -1.3690 -6.3171
0.6170 -7.7080 2.6609
K Se Hf Mn
2 6 2 1
Direct
0.8358 0.1642 0.0000
0.1642 0.8358 0.0000
0.2764 0.2764 0.3084
0.4026 0.0644 0.6928
0.7236 0.7236 0.6916
0.9356 0.5974 0.3072
0.0644 0.4026 0.6928
0.5974 0.9356 0.3072
0.3328 0.6672 0.5000
0.6672 0.3328 0.5000
0.0000 0.0000 0.5000
```

Properties
final energy: -65.45 eV for the cell shown


Entry from the Alexandria database: a relaxed structure of K3HfMn2Se6 (PBE-GGA).

Structure (POSCAR):
```
K3HfMn2Se6
1.0
6.7964 0.1261 -0.0171
-3.2873 5.9499 -0.0171
-1.1900 -2.0605 7.6113
K Se Hf Mn
3 6 1 2
Direct
0.8350 0.1650 0.5000
0.5000 0.5000 0.5000
0.1650 0.8350 0.5000
0.2772 0.2772 0.8183
0.3894 0.0525 0.1942
0.0525 0.3894 0.1942
0.7228 0.7228 0.1817
0.9475 0.6106 0.8058
0.6106 0.9475 0.8058
0.0000 0.0000 0.0000
0.6697 0.3303 0.0000
0.3303 0.6697 0.0000
```

Properties
final energy: -64.19 eV for the cell shown


Entry from the Alexandria database: a relaxed structure of K2HfMnSe4 (PBE-GGA).

Structure (POSCAR):
```
K2HfMnSe4
1.0
-0.9462 -0.4461 -3.8258
-3.5357 -5.8396 1.5553
-5.0869 6.0695 0.5503
Hf Se K Mn
1 4 2 1
Direct
0.5000 0.5000 0.0000
0.0000 0.2775 0.8013
0.5000 0.2337 0.1862
0.5000 0.7663 0.8138
0.0000 0.7225 0.1987
0.0000 0.5000 0.5000
0.5000 0.0000 0.5000
0.0000 0.0000 0.0000
```

Properties
final energy: -44.05 eV for the cell shown


Entry from the Alexandria database: a relaxed structure of K2Hf2MnTe6 (PBE-GGA).

Structure (POSCAR):
```
K2Hf2MnTe6
1.0
-3.1089 6.1466 -2.1798
-1.5388 -2.7501 6.5013
7.9397 3.2725 1.9178
Te K Mn Hf
6 2 1 2
Direct
0.9324 0.5994 0.3047
0.7283 0.7283 0.6928
0.2717 0.2717 0.3072
0.0676 0.4006 0.6953
0.5994 0.9324 0.3047
0.4006 0.0676 0.6953
0.1652 0.8348 0.0000
0.8348 0.1652 0.0000
0.0000 0.0000 0.5000
0.3318 0.6682 0.5000
0.6682 0.3318 0.5000
```

Properties
final energy: -58.78 eV for the cell shown


Entry from the Alexandria database: a relaxed structure of K3HfMn2Te6 (PBE-GGA).

Structure (POSCAR):
```
K3HfMn2Te6
1.0
7.3473 -0.0068 -0.0013
-3.6778 6.3606 -0.0013
-1.2253 -2.1216 8.1902
Mn Te Hf K
2 6 1 3
Direct
0.6666 0.3334 0.0000
0.3334 0.6666 0.0000
0.7285 0.7285 0.1906
0.3994 0.0642 0.1906
0.9358 0.6006 0.8094
0.2715 0.2715 0.8094
0.6006 0.9358 0.8094
0.0642 0.3994 0.1906
0.0000 0.0000 0.0000
0.1663 0.8337 0.5000
0.5000 0.5000 0.5000
0.8337 0.1663 0.5000
```

Properties
final energy: -58.39 eV for the cell shown


Entry from the Alexandria database: a relaxed structure of K3Hf3MnTe8 (PBE-GGA).

Structure (POSCAR):
```
K3Hf3MnTe8
1.0
-0.8829 -5.0716 -6.5214
6.3969 5.2926 0.3038
0.6834 -7.6891 5.8894
Hf K Te Mn
3 3 8 1
Direct
0.0000 0.5000 0.5000
0.5000 0.5000 0.5000
0.5000 0.0000 0.5000
0.5000 0.5000 0.0000
0.0000 0.0000 0.0000
0.0000 0.5000 0.0000
0.7672 0.5343 0.3050
0.2328 0.4657 0.6950
0.2328 0.9621 0.6949
0.7335 0.4670 0.7006
0.2708 0.0379 0.3051
0.7672 0.0379 0.3051
0.2665 0.5330 0.2994
0.7292 0.9621 0.6949
0.0000 0.0000 0.5000
```

Properties
final energy: -79.60 eV for the cell shown


Number 1: uncorrected formation energy -13.272 eV/f.u., magnetic moment 5.000 μB/cell. Number 2: uncorrected formation energy -11.699 eV/f.u., magnetic moment 9.000 μB/cell. Number 3: uncorrected formation energy -8.789 eV/f.u., magnetic moment 4.981 μB/cell. Number 4: uncorrected formation energy -8.657 eV/f.u., magnetic moment 5.009 μB/cell. Number 5: uncorrected formation energy -7.951 eV/f.u., magnetic moment 8.995 μB/cell. Number 6: uncorrected formation energy -12.144 eV/f.u., magnetic moment 4.975 μB/cell.